# 1
VASP calculation (PBE-GGA) on a relaxed BaTl4Cu crystal.

a = 6.491 Å, b = 6.491 Å, c = 6.491 Å
α = 60.00°, β = 60.00°, γ = 60.00°
Fractional positions:
Ba: 0.000 0.000 0.000
Tl: 0.376 0.376 0.376
Tl: 0.376 0.376 0.873
Tl: 0.376 0.873 0.376
Tl: 0.873 0.376 0.376
Cu: 0.750 0.750 0.750

Summary:
As for the space group: F-43m. The final energy is -2.439 eV/atom. As for the formation energy: 0.14 eV per atom. For the theoretical density, the calculation gives 8.7 g/cm³.



# 2
VASP calculation (PBE-GGA) on a relaxed Ba4TlCu crystal.

a = 7.301 Å, b = 7.301 Å, c = 7.301 Å
α = 60.00°, β = 60.00°, γ = 60.00°
Fractional positions:
Ba: 0.125 0.125 0.125
Ba: 0.125 0.125 0.624
Ba: 0.125 0.624 0.125
Ba: 0.624 0.125 0.125
Tl: 0.500 0.500 0.500
Cu: 0.750 0.750 0.750

Summary:
As for the space group: F-43m. Its relative energy among the computed polymorphs is 3.963 eV/f.u. The final energy is -1.817 eV/atom. As for the formation energy: 0.54 eV per atom. For the theoretical density, the calculation gives 4.9 g/cm³.



# 3
VASP calculation (PBE-GGA) on a relaxed Ba3TlCu crystal.

a = 6.186 Å, b = 6.186 Å, c = 6.186 Å
α = 90.00°, β = 90.00°, γ = 90.00°
Fractional positions:
Ba: 0.000 0.000 0.500
Ba: 0.000 0.500 0.000
Ba: 0.500 0.000 0.000
Tl: 0.500 0.500 0.500
Cu: 0.000 0.000 0.000

Summary:
As for the space group: Pm-3m. Its relative energy among the computed polymorphs is 0.887 eV/f.u. The final energy is -2.427 eV/atom. As for the formation energy: 0.02 eV per atom. For the theoretical density, the calculation gives 4.8 g/cm³.



# 4
VASP calculation (PBE-GGA) on a relaxed Ba4TlCu crystal.

a = 9.632 Å, b = 9.632 Å, c = 7.781 Å
α = 108.37°, β = 108.37°, γ = 111.61°
Fractional positions:
Ba: 0.059 0.698 0.908
Ba: 0.236 0.349 0.720
Ba: 0.302 0.941 0.592
Ba: 0.349 0.236 0.220
Ba: 0.651 0.764 0.780
Ba: 0.698 0.059 0.408
Ba: 0.764 0.651 0.280
Ba: 0.941 0.302 0.092
Tl: 0.366 0.634 0.250
Tl: 0.634 0.366 0.750
Cu: 0.002 0.998 0.750
Cu: 0.998 0.002 0.250

Summary:
As for the space group: C2/c. Its relative energy among the computed polymorphs is 0.112 eV/f.u. The final energy is -2.459 eV/atom. As for the formation energy: -0.10 eV per atom. For the theoretical density, the calculation gives 4.9 g/cm³.



# 5
VASP calculation (PBE-GGA) on a relaxed BaTlCu crystal.

a = 7.706 Å, b = 7.706 Å, c = 7.706 Å
α = 90.00°, β = 90.00°, γ = 90.00°
Fractional positions:
Ba: 0.000 0.000 0.000
Ba: 0.000 0.500 0.500
Ba: 0.500 0.000 0.500
Ba: 0.500 0.500 0.000
Tl: 0.250 0.250 0.250
Tl: 0.250 0.750 0.750
Tl: 0.750 0.250 0.750
Tl: 0.750 0.750 0.250
Cu: 0.250 0.250 0.750
Cu: 0.250 0.750 0.250
Cu: 0.750 0.250 0.250
Cu: 0.750 0.750 0.750

Summary:
As for the space group: F-43m. The final energy is -2.387 eV/atom. As for the formation energy: 0.41 eV per atom. For the theoretical density, the calculation gives 5.9 g/cm³.



# 6
VASP calculation (PBE-GGA) on a relaxed Ba6Tl5Cu crystal.

a = 9.490 Å, b = 9.490 Å, c = 8.623 Å
α = 90.00°, β = 90.00°, γ = 143.35°
Fractional positions:
Ba: 0.000 0.000 0.238
Ba: 0.000 0.000 0.762
Ba: 0.340 0.660 0.246
Ba: 0.340 0.660 0.754
Ba: 0.660 0.340 0.246
Ba: 0.660 0.340 0.754
Tl: 0.168 0.832 0.500
Tl: 0.178 0.822 0.000
Tl: 0.500 0.500 0.500
Tl: 0.822 0.178 0.000
Tl: 0.832 0.168 0.500
Cu: 0.500 0.500 0.000

Summary:
As for the space group: Cmmm. The final energy is -2.609 eV/atom. As for the formation energy: -0.32 eV per atom. For the theoretical density, the calculation gives 6.8 g/cm³.



# 7
VASP calculation (PBE-GGA) on a relaxed BaTlCu4 crystal.

a = 5.444 Å, b = 5.444 Å, c = 5.444 Å
α = 60.00°, β = 60.00°, γ = 60.00°
Fractional positions:
Ba: 0.000 0.000 0.000
Tl: 0.250 0.250 0.250
Cu: 0.136 0.621 0.621
Cu: 0.621 0.136 0.621
Cu: 0.621 0.621 0.136
Cu: 0.621 0.621 0.621

Summary:
As for the space group: F-43m. The final energy is -3.357 eV/atom. As for the formation energy: 0.09 eV per atom. For the theoretical density, the calculation gives 8.7 g/cm³.



# 8
VASP calculation (PBE-GGA) on a relaxed Ba4TlCu crystal.

a = 4.176 Å, b = 4.176 Å, c = 15.427 Å
α = 90.00°, β = 90.00°, γ = 90.00°
Fractional positions:
Ba: 0.000 0.000 0.121
Ba: 0.000 0.000 0.879
Ba: 0.500 0.500 0.362
Ba: 0.500 0.500 0.638
Tl: 0.000 0.000 0.500
Cu: 0.500 0.500 0.000

Summary:
As for the space group: P4/mmm. Its relative energy among the computed polymorphs is 0.000 eV/f.u. The final energy is -2.477 eV/atom. As for the formation energy: -0.12 eV per atom. For the theoretical density, the calculation gives 5.0 g/cm³.



Q: Which of these has the highest final energy?
A: number 2



Q: What is the theoretical density in the third record?
A: 4.8 g/cm³



What did the fourth record say?
VASP calculation (PBE-GGA) on a relaxed Ba4TlCu crystal.

a = 9.632 Å, b = 9.632 Å, c = 7.781 Å
α = 108.37°, β = 108.37°, γ = 111.61°
Fractional positions:
Ba: 0.059 0.698 0.908
Ba: 0.236 0.349 0.720
Ba: 0.302 0.941 0.592
Ba: 0.349 0.236 0.220
Ba: 0.651 0.764 0.780
Ba: 0.698 0.059 0.408
Ba: 0.764 0.651 0.280
Ba: 0.941 0.302 0.092
Tl: 0.366 0.634 0.250
Tl: 0.634 0.366 0.750
Cu: 0.002 0.998 0.750
Cu: 0.998 0.002 0.250

Summary:
As for the space group: C2/c. Its relative energy among the computed polymorphs is 0.112 eV/f.u. The final energy is -2.459 eV/atom. As for the formation energy: -0.10 eV per atom. For the theoretical density, the calculation gives 4.9 g/cm³.



Please write out number 6 again, unchanged.
VASP calculation (PBE-GGA) on a relaxed Ba6Tl5Cu crystal.

a = 9.490 Å, b = 9.490 Å, c = 8.623 Å
α = 90.00°, β = 90.00°, γ = 143.35°
Fractional positions:
Ba: 0.000 0.000 0.238
Ba: 0.000 0.000 0.762
Ba: 0.340 0.660 0.246
Ba: 0.340 0.660 0.754
Ba: 0.660 0.340 0.246
Ba: 0.660 0.340 0.754
Tl: 0.168 0.832 0.500
Tl: 0.178 0.822 0.000
Tl: 0.500 0.500 0.500
Tl: 0.822 0.178 0.000
Tl: 0.832 0.168 0.500
Cu: 0.500 0.500 0.000

Summary:
As for the space group: Cmmm. The final energy is -2.609 eV/atom. As for the formation energy: -0.32 eV per atom. For the theoretical density, the calculation gives 6.8 g/cm³.